Entry 1:
A relaxed structure of Cs7GeTe6, computed with PBE.

a b c (Å): 13.9507 13.9507 13.9507
angles (deg): 138.92 113.47 81.25
Last column: nearest neighbours and their distance in Å.
Positions (direct):
Cs 0.0543 0.5369 0.8587  4 Te 3.75-4.06, 1 Ge 4.14
Cs 0.0611 0.2447 0.3059  4 Te 3.72-4.11
Cs 0.1782 0.0369 0.4825  4 Te 3.75-4.06, 1 Ge 4.14
Cs 0.2500 0.2500 0.0000  4 Te 3.84
Cs 0.3218 0.8044 0.8587  4 Te 3.75-4.06, 1 Ge 4.14
Cs 0.4389 0.7447 0.1836  4 Te 3.72-4.11
Cs 0.4457 0.3044 0.4825  4 Te 3.75-4.06, 1 Ge 4.14
Cs 0.5543 0.6956 0.5175  4 Te 3.75-4.06, 1 Ge 4.14
Cs 0.5611 0.2553 0.8164  4 Te 3.72-4.11
Cs 0.6782 0.1956 0.1413  4 Te 3.75-4.06, 1 Ge 4.14
Cs 0.7500 0.7500 0.0000  4 Te 3.84
Cs 0.8218 0.9631 0.5175  4 Te 3.75-4.06, 1 Ge 4.14
Cs 0.9389 0.7553 0.6941  4 Te 3.72-4.11
Cs 0.9457 0.4631 0.1413  4 Te 3.75-4.06, 1 Ge 4.14
Ge 0.2500 0.7500 0.5000  4 Te 2.62
Ge 0.7500 0.2500 0.5000  4 Te 2.62
Te 0.0879 0.8473 0.5761  1 Ge 2.62
Te 0.1986 0.9312 0.1298  6 Cs 3.72-4.11
Te 0.2287 0.6527 0.2406  1 Ge 2.62
Te 0.2713 0.5118 0.4239  1 Ge 2.62
Te 0.3014 0.4312 0.7326  6 Cs 3.72-4.11
Te 0.4121 0.9882 0.7594  1 Ge 2.62
Te 0.5879 0.0118 0.2406  1 Ge 2.62
Te 0.6986 0.5688 0.2674  6 Cs 3.72-4.11
Te 0.7287 0.4882 0.5761  1 Ge 2.62
Te 0.7713 0.3473 0.7594  1 Ge 2.62
Te 0.8014 0.0688 0.8702  6 Cs 3.72-4.11
Te 0.9121 0.1527 0.4239  1 Ge 2.62

Properties
E   -2.9209 eV/atom
E_form (uncorrected)   -78.9 kJ per mole of atoms
Space group   Ibam (72)

Entry 2:
A relaxed structure of Cr2MoPt, computed with PBE.

a b c (Å): 4.3344 4.3344 4.3344
angles (deg): 60.00 60.00 60.00
Last column: nearest neighbours and their distance in Å.
Positions (direct):
Cr 0.0000 0.0000 0.0000  4 Mo 2.65, 4 Cr 2.65
Cr 0.2500 0.2500 0.2500  4 Cr 2.65, 4 Pt 2.65
Mo 0.7500 0.7500 0.7500  4 Cr 2.65, 4 Pt 2.65
Pt 0.5000 0.5000 0.5000  4 Cr 2.65, 4 Mo 2.65

Properties
Formation energy   15.05 kJ per mole of atoms
E   -8.8737 eV/atom
Space group   F-43m (216)